A relaxed structure of MnIBrO2, computed with GGA+U. Values from VASP.

Output
- theoretical density (g cm⁻³) = 4.5
- E above lowest polymorph (meV per atom) = 0
- electronic total energy (eV/atom) = -4.336

Geometry as Quantum ESPRESSO input:
```
&SYSTEM
  ibrav = 0, nat = 5, ntyp = 4
/
ATOMIC_SPECIES
I 126.90 I.upf
Mn 54.94 Mn.upf
O 16.00 O.upf
Br 79.90 Br.upf
CELL_PARAMETERS angstrom
3.973 0.000 0.000
0.000 3.973 0.000
0.000 0.000 6.857
ATOMIC_POSITIONS crystal
I 0.000 0.000 0.500
Mn 0.000 0.000 0.000
O 0.000 0.500 0.000
O 0.500 0.000 0.000
Br 0.500 0.500 0.500
```